1.
This record from Alexandria describes an optimized crystal structure of SmZrCuIr. The functional is PBE.

Structure (CIF):
```
data_SmZrCuIr
_chemical_formula_sum 'Sm4 Zr4 Cu4 Ir4'
_cell_length_a 6.8175
_cell_length_b 6.8175
_cell_length_c 6.8175
_cell_angle_alpha 90.00
_cell_angle_beta 90.00
_cell_angle_gamma 90.00
_symmetry_space_group_name_H-M 'F -4 3 m'
_symmetry_Int_Tables_number 216
_symmetry_space_group_name_Hall 'F -4 2 3'
loop_
_atom_site_label
_atom_site_fract_x
_atom_site_fract_y
_atom_site_fract_z
_atom_site_occupancy
Sm1 0.0000 0.0000 0.0000 1
Zr1 0.0000 0.0000 0.5000 1
Cu1 0.2500 0.2500 0.2500 1
Ir1 0.2500 0.2500 0.7500 1
```

Results
E_tot: -6.953 eV per atom
Calculated density: 10.43 g/cm³
ΔE_f: -153.4 kJ/mol of formula units

2.
This record from Alexandria describes an optimized crystal structure of Cu4SnIr. The functional is PBE.

Structure (CIF):
```
data_Cu4SnIr
_chemical_formula_sum 'Cu16 Sn4 Ir4'
_cell_length_a 6.9106
_cell_length_b 6.9106
_cell_length_c 6.9106
_cell_angle_alpha 90.00
_cell_angle_beta 90.00
_cell_angle_gamma 90.00
_symmetry_space_group_name_H-M 'F -4 3 m'
_symmetry_Int_Tables_number 216
_symmetry_space_group_name_Hall 'F -4 2 3'
loop_
_atom_site_label
_atom_site_fract_x
_atom_site_fract_y
_atom_site_fract_z
_atom_site_occupancy
Cu1 0.1244 0.1244 0.1244 1
Sn1 0.0000 0.0000 0.5000 1
Ir1 0.2500 0.2500 0.7500 1
```

Results
E_tot: -4.768 eV per atom
Calculated density: 11.37 g/cm³
ΔE_f: 62.1 kJ/mol of formula units

3.
This record from Alexandria describes an optimized crystal structure of Cu2SnIr2. The functional is PBE.

Structure (CIF):
```
data_Cu2SnIr2
_chemical_formula_sum 'Cu4 Sn2 Ir4'
_cell_length_a 7.0607
_cell_length_b 7.0607
_cell_length_c 3.1026
_cell_angle_alpha 90.00
_cell_angle_beta 90.00
_cell_angle_gamma 90.00
_symmetry_space_group_name_H-M 'P 4/m b m'
_symmetry_Int_Tables_number 127
_symmetry_space_group_name_Hall '-P 4 2ab'
loop_
_atom_site_label
_atom_site_fract_x
_atom_site_fract_y
_atom_site_fract_z
_atom_site_occupancy
Cu1 0.1625 0.3375 0.0000 1
Sn1 0.0000 0.0000 0.5000 1
Ir1 0.1341 0.6341 0.5000 1
```

Results
E_tot: -5.794 eV per atom
Calculated density: 13.53 g/cm³
ΔE_f: 91.6 kJ/mol of formula units

4.
This record from Alexandria describes an optimized crystal structure of CuSn3Ir. The functional is PBE.

Structure (CIF):
```
data_CuSn3Ir
_chemical_formula_sum 'Cu1 Sn3 Ir1'
_cell_length_a 5.1415
_cell_length_b 5.1415
_cell_length_c 5.1415
_cell_angle_alpha 90.00
_cell_angle_beta 90.00
_cell_angle_gamma 90.00
_symmetry_space_group_name_H-M 'P m -3 m'
_symmetry_Int_Tables_number 221
_symmetry_space_group_name_Hall '-P 4 2 3'
loop_
_atom_site_label
_atom_site_fract_x
_atom_site_fract_y
_atom_site_fract_z
_atom_site_occupancy
Cu1 0.0000 0.0000 0.0000 1
Sn1 0.0000 0.5000 0.5000 1
Ir1 0.5000 0.5000 0.5000 1
```

Results
E_tot: -4.557 eV per atom
Calculated density: 7.48 g/cm³
ΔE_f: 210.4 kJ/mol of formula units

5.
This record from Alexandria describes an optimized crystal structure of Cu3SnIr. The functional is PBE.

Structure (CIF):
```
data_Cu3SnIr
_chemical_formula_sum 'Cu3 Sn1 Ir1'
_cell_length_a 4.6794
_cell_length_b 4.6794
_cell_length_c 4.6794
_cell_angle_alpha 90.00
_cell_angle_beta 90.00
_cell_angle_gamma 90.00
_symmetry_space_group_name_H-M 'P m -3 m'
_symmetry_Int_Tables_number 221
_symmetry_space_group_name_Hall '-P 4 2 3'
loop_
_atom_site_label
_atom_site_fract_x
_atom_site_fract_y
_atom_site_fract_z
_atom_site_occupancy
Cu1 0.0000 0.0000 0.5000 1
Sn1 0.5000 0.5000 0.5000 1
Ir1 0.0000 0.0000 0.0000 1
```

Results
E_tot: -4.191 eV per atom
Calculated density: 8.13 g/cm³
ΔE_f: 405.0 kJ/mol of formula units

6.
This record from Alexandria describes an optimized crystal structure of Sr2CuSn4Ir3. The functional is PBE.

Structure (CIF):
```
data_Sr2CuSn4Ir3
_chemical_formula_sum 'Sr2 Cu1 Sn4 Ir3'
_cell_length_a 4.6490
_cell_length_b 4.6490
_cell_length_c 10.6576
_cell_angle_alpha 90.00
_cell_angle_beta 90.00
_cell_angle_gamma 90.00
_symmetry_space_group_name_H-M 'P -4 m 2'
_symmetry_Int_Tables_number 115
_symmetry_space_group_name_Hall 'P -4 -2'
loop_
_atom_site_label
_atom_site_fract_x
_atom_site_fract_y
_atom_site_fract_z
_atom_site_occupancy
Sr1 0.0000 0.5000 0.2447 1
Cu1 0.5000 0.5000 0.0000 1
Sn1 0.0000 0.0000 0.5000 1
Sn2 0.0000 0.5000 0.8769 1
Sn3 0.5000 0.5000 0.5000 1
Ir1 0.0000 0.0000 0.0000 1
Ir2 0.0000 0.5000 0.6283 1
```

Results
E_tot: -5.419 eV per atom
Calculated density: 9.30 g/cm³
ΔE_f: -399.3 kJ/mol of formula units

7.
This record from Alexandria describes an optimized crystal structure of Sr2Cu3Sn4Ir. The functional is PBE.

Structure (CIF):
```
data_Sr2Cu3Sn4Ir
_chemical_formula_sum 'Sr2 Cu3 Sn4 Ir1'
_cell_length_a 4.5937
_cell_length_b 4.5937
_cell_length_c 10.8291
_cell_angle_alpha 90.00
_cell_angle_beta 90.00
_cell_angle_gamma 90.00
_symmetry_space_group_name_H-M 'P -4 m 2'
_symmetry_Int_Tables_number 115
_symmetry_space_group_name_Hall 'P -4 -2'
loop_
_atom_site_label
_atom_site_fract_x
_atom_site_fract_y
_atom_site_fract_z
_atom_site_occupancy
Sr1 0.0000 0.5000 0.2422 1
Cu1 0.0000 0.0000 0.0000 1
Cu2 0.0000 0.5000 0.6337 1
Sn1 0.0000 0.0000 0.5000 1
Sn2 0.0000 0.5000 0.8763 1
Sn3 0.5000 0.5000 0.5000 1
Ir1 0.5000 0.5000 0.0000 1
```

Results
E_tot: -4.396 eV per atom
Calculated density: 7.51 g/cm³
ΔE_f: -331.2 kJ/mol of formula units

8.
This record from Alexandria describes an optimized crystal structure of YCuSnIr2. The functional is PBE.

Structure (CIF):
```
data_YCuSnIr2
_chemical_formula_sum 'Y1 Cu1 Sn1 Ir2'
_cell_length_a 4.6598
_cell_length_b 4.6598
_cell_length_c 4.7626
_cell_angle_alpha 90.00
_cell_angle_beta 90.00
_cell_angle_gamma 90.00
_symmetry_space_group_name_H-M 'P 4/m m m'
_symmetry_Int_Tables_number 123
_symmetry_space_group_name_Hall '-P 4 2'
loop_
_atom_site_label
_atom_site_fract_x
_atom_site_fract_y
_atom_site_fract_z
_atom_site_occupancy
Y1 0.0000 0.0000 0.0000 1
Cu1 0.0000 0.0000 0.5000 1
Sn1 0.5000 0.5000 0.0000 1
Ir1 0.0000 0.5000 0.5000 1
```

Results
E_tot: -5.974 eV per atom
Calculated density: 10.53 g/cm³
ΔE_f: 233.0 kJ/mol of formula units

9.
This record from Alexandria describes an optimized crystal structure of Zr2CuSnIr. The functional is PBE.

Structure (CIF):
```
data_Zr2CuSnIr
_chemical_formula_sum 'Zr2 Cu1 Sn1 Ir1'
_cell_length_a 5.2881
_cell_length_b 5.2881
_cell_length_c 4.8037
_cell_angle_alpha 90.00
_cell_angle_beta 90.00
_cell_angle_gamma 90.00
_symmetry_space_group_name_H-M 'P 4/m m m'
_symmetry_Int_Tables_number 123
_symmetry_space_group_name_Hall '-P 4 2'
loop_
_atom_site_label
_atom_site_fract_x
_atom_site_fract_y
_atom_site_fract_z
_atom_site_occupancy
Zr1 0.0000 0.5000 0.0000 1
Cu1 0.0000 0.0000 0.5000 1
Sn1 0.5000 0.5000 0.0000 1
Ir1 0.5000 0.5000 0.5000 1
```

Results
E_tot: -5.576 eV per atom
Calculated density: 6.88 g/cm³
ΔE_f: 596.0 kJ/mol of formula units

10.
This record from Alexandria describes an optimized crystal structure of Sr2CuIr2. The functional is PBE.

Structure (CIF):
```
data_Sr2CuIr2
_chemical_formula_sum 'Sr8 Cu4 Ir8'
_cell_length_a 9.0664
_cell_length_b 5.9034
_cell_length_c 8.6246
_cell_angle_alpha 90.00
_cell_angle_beta 100.49
_cell_angle_gamma 90.00
_symmetry_space_group_name_H-M 'C 1 2/c 1'
_symmetry_Int_Tables_number 15
_symmetry_space_group_name_Hall '-C 2yc'
loop_
_atom_site_label
_atom_site_fract_x
_atom_site_fract_y
_atom_site_fract_z
_atom_site_occupancy
Sr1 0.1531 0.1305 0.1550 1
Cu1 0.0000 0.4110 0.7500 1
Ir1 0.1297 0.3687 0.5062 1
```

Results
E_tot: -5.182 eV per atom
Calculated density: 9.12 g/cm³
ΔE_f: -70.1 kJ/mol of formula units